Here is a relaxed structure of TbPmCu4 from Alexandria via LeMat-Bulk. Energies are from PBE.

Unit cell a=4.3194 b=5.5208 c=5.5208 alpha=78.34 beta=66.97 gamma=66.97
Closest atoms and distances in Å follow each position.
Fractional positions:
Cu 0.8343 0.4648 0.8665  3 Cu 2.50-2.54
Tb 0.4604 0.0396 0.0396  12 Cu 2.97-3.14
Pm 0.5427 0.4573 0.4573  12 Cu 3.00-3.15
Cu 0.8343 0.8665 0.4648  3 Cu 2.50-2.54
Cu 0.1641 0.0325 0.6393  4 Cu 2.50-2.74
Cu 0.1641 0.6393 0.0325  4 Cu 2.50-2.74

## Properties
Energy above the lowest structure with this stoichiometry: 0 kJ/mol of formula units
DFT formation energy: -0.245 eV per atom
SG: No. 44
Volume: 18.6 Å³ per atom

---

Here is a relaxed structure of KAgWS4 from Alexandria via LeMat-Bulk. Energies are from PBE.

Unit cell a=5.9161 b=7.5283 c=9.2893 alpha=90.00 beta=104.25 gamma=90.00
Closest atoms and distances in Å follow each position.
Fractional positions:
S 0.4488 0.7500 0.4971  1 W 2.21
S 0.0361 0.0035 0.7148  1 W 2.22
S 0.6920 0.2500 0.9182  1 W 2.25
K 0.2907 0.2500 0.1222  5 S 3.33-3.58
S 0.0361 0.4965 0.7148  1 W 2.22
S 0.9639 0.9965 0.2852  1 W 2.22
Ag 0.6758 0.7500 0.3009  4 S 2.52-2.59
W 0.1720 0.7500 0.2881  4 S 2.21-2.25
K 0.7093 0.7500 0.8778  5 S 3.33-3.58
Ag 0.3242 0.2500 0.6991  4 S 2.52-2.59
S 0.3080 0.7500 0.0818  1 W 2.25
S 0.9639 0.5035 0.2852  1 W 2.22
S 0.5512 0.2500 0.5029  1 W 2.21
W 0.8280 0.2500 0.7119  4 S 2.21-2.25

## Properties
SG: No. 11
Volume: 28.6 Å³ per atom
Uncorrected formation energy: -626 meV/atom

---

Here is a relaxed structure of Pm3Pr12Mg from Alexandria via LeMat-Bulk. Energies are from PBE.

Unit cell a=5.1842 b=5.1842 c=20.8677 alpha=90.00 beta=90.00 gamma=90.00
Closest atoms and distances in Å follow each position.
Fractional positions:
Pr 0.5000 0.5000 0.7542  8 Pr 3.66-3.72, 4 Pm 3.67
Pm 0.0000 0.0000 0.7531  12 Pr 3.67-3.70
Pr 0.5000 0.0000 0.3736  8 Pr 3.67-3.72, 4 Pm 3.70
Pr 0.5000 0.5000 0.5000  4 Pm 3.67, 8 Pr 3.70
Pm 0.0000 0.0000 0.5000  12 Pr 3.67-3.70
Mg 0.0000 0.0000 0.0000  12 Pr 3.63-3.67
Pr 0.5000 0.5000 0.2458  8 Pr 3.66-3.72, 4 Pm 3.67
Pr 0.5000 0.0000 0.8782  2 Mg 3.63, 8 Pr 3.63-3.67, 2 Pm 3.68
Pr 0.0000 0.5000 0.6264  8 Pr 3.67-3.72, 4 Pm 3.70
Pm 0.0000 0.0000 0.2469  12 Pr 3.67-3.70
Pr 0.0000 0.5000 0.3736  8 Pr 3.67-3.72, 4 Pm 3.70
Pr 0.0000 0.5000 0.8782  8 Pr 3.63-3.67, 2 Mg 3.63, 2 Pm 3.68
Pr 0.5000 0.5000 0.0000  8 Pr 3.63, 4 Mg 3.67
Pr 0.5000 0.0000 0.1218  2 Mg 3.63, 8 Pr 3.63-3.67, 2 Pm 3.68
Pr 0.0000 0.5000 0.1218  8 Pr 3.63-3.67, 2 Mg 3.63, 2 Pm 3.68
Pr 0.5000 0.0000 0.6264  8 Pr 3.67-3.72, 4 Pm 3.70

## Properties
DFT formation energy: 0.008 eV per atom
SG: No. 123
Volume: 35.1 Å³ per atom

---

Here is a relaxed structure of Nd4ThSc5 from Alexandria via LeMat-Bulk. Energies are from PBE.

Unit cell a=3.5828 b=3.5828 c=22.7735 alpha=90.00 beta=90.00 gamma=90.00
Closest atoms and distances in Å follow each position.
Fractional positions:
Nd 0.0000 0.0000 0.3995  8 Sc 3.41-3.42, 4 Nd 3.58
Nd 0.0000 0.0000 0.1986  8 Sc 3.41-3.45, 4 Nd 3.58
Sc 0.5000 0.5000 0.9044  4 Th 3.34, 4 Nd 3.45, 4 Sc 3.58
Sc 0.5000 0.5000 0.0956  4 Th 3.34, 4 Nd 3.45, 4 Sc 3.58
Th 0.0000 0.0000 0.0000  8 Sc 3.34, 4 Th 3.58
Sc 0.5000 0.5000 0.5000  8 Nd 3.41, 4 Sc 3.58
Sc 0.5000 0.5000 0.2987  8 Nd 3.41-3.42, 4 Sc 3.58
Sc 0.5000 0.5000 0.7013  8 Nd 3.41-3.42, 4 Sc 3.58
Nd 0.0000 0.0000 0.6005  8 Sc 3.41-3.42, 4 Nd 3.58
Nd 0.0000 0.0000 0.8014  8 Sc 3.41-3.45, 4 Nd 3.58

## Properties
DFT formation energy: 0.044 eV per atom
SG: No. 123
Volume: 29.2 Å³ per atom

---

Q: Among the records above, which one has the highest volume?
A: Pm3Pr12Mg